# 1
A relaxed Mg2MnGa3S8 crystal, computed with GGA-PBE.

Structure (extended XYZ):
```
14
Lattice="-3.950 6.110 0.882 -4.562 0.623 5.691 1.567 4.620 5.471" Properties=species:S:1:pos:R:3 pbc="T T T"
S -1.806 2.980 3.142
S -3.893 3.248 5.738
S -3.595 5.749 3.541
S -3.349 5.605 8.503
S -5.139 8.374 8.902
S -5.849 6.280 6.423
S -3.052 8.105 6.306
S -1.096 5.073 5.621
Ga -4.256 3.367 3.287
Ga -3.472 5.677 6.022
Ga -1.498 2.622 5.581
Mg -0.875 1.414 1.512
Mg -6.070 9.940 10.532
Mn -5.753 5.989 8.868
```

Values from the calculation:
DOS at the Fermi energy: 2.208 states/eV per cell
Size of the total moment: 3.99 Bohr magnetons per cell
Energy relative to the elements, uncorrected: -1046.1 kJ/mol of formula units
VASP energy: -4.6643 eV per atom

# 2
A relaxed MgGaMo3 crystal, computed with GGA-PBE.

Structure (extended XYZ):
```
5
Lattice="4.582 0.000 0.000 0.000 4.582 0.000 0.000 0.000 4.582" Properties=species:S:1:pos:R:3 pbc="T T T"
Mo 0.000 0.000 2.291
Mo 2.291 0.000 0.000
Mo 0.000 2.291 0.000
Ga 2.291 2.291 2.291
Mg 0.000 0.000 0.000
```

Values from the calculation:
DOS at the Fermi energy: 4.238 states/eV per cell
Size of the total moment: 2.58 Bohr magnetons per cell
E above lowest polymorph: 640.8 meV per atom
E_form: 2.02 eV per atom
VASP energy: -5.4053 eV per atom

# 3
A relaxed MgGa4Mo crystal, computed with GGA-PBE.

Structure (extended XYZ):
```
12
Lattice="4.698 0.000 0.000 -2.349 6.380 -1.548 0.000 -4.372 7.790" Properties=species:S:1:pos:R:3 pbc="T T T"
Ga 3.525 2.412 0.604
Ga 1.176 1.782 1.743
Ga 3.523 -1.761 3.151
Ga -1.174 3.769 3.090
Ga 1.173 0.226 4.499
Ga 1.175 -3.947 7.046
Ga 1.174 5.955 -0.805
Ga -1.176 -0.404 5.638
Mo 1.175 3.190 -0.774
Mo -1.175 1.004 3.121
Mg 1.174 -1.093 1.947
Mg 3.524 -3.279 5.842
```

Values from the calculation:
DOS at the Fermi energy: 8.387 states/eV per cell
Size of the total moment: 0.00 Bohr magnetons per cell
E_form: 0.04 eV per atom
VASP energy: -4.0474 eV per atom

# 4
A relaxed MgGa2Mo crystal, computed with GGA-PBE.

Structure (extended XYZ):
```
4
Lattice="-2.487 1.246 1.065 -1.152 -0.945 2.580 3.669 6.104 5.594" Properties=species:S:1:pos:R:3 pbc="T T T"
Mg 0.015 3.203 4.619
Ga -0.047 1.534 2.261
Ga 0.076 4.871 6.978
Mo 0.000 0.000 0.000
```

Values from the calculation:
DOS at the Fermi energy: 1.959 states/eV per cell
Size of the total moment: 0.00 Bohr magnetons per cell
E_form: 0.00 eV per atom
VASP energy: -4.6227 eV per atom

# 5
A relaxed Mg2Ga2Mo crystal, computed with GGA-PBE.

Structure (extended XYZ):
```
10
Lattice="7.294 0.000 0.000 0.000 7.294 0.000 0.000 0.000 3.243" Properties=species:S:1:pos:R:3 pbc="T T T"
Mg 2.417 1.230 1.622
Mg 6.064 2.417 1.622
Mg 1.230 4.877 1.622
Mg 4.877 6.064 1.622
Ga 0.980 2.666 0.000
Ga 6.313 4.627 0.000
Ga 2.666 6.313 0.000
Ga 4.627 0.980 0.000
Mo 0.000 0.000 0.000
Mo 3.647 3.647 0.000
```

Values from the calculation:
DOS at the Fermi energy: 5.858 states/eV per cell
Size of the total moment: 0.00 Bohr magnetons per cell
E_form: 0.15 eV per atom
VASP energy: -3.8665 eV per atom

# 6
A relaxed Mg6GaMo crystal, computed with GGA-PBE.

Structure (extended XYZ):
```
8
Lattice="3.052 -5.303 0.000 3.052 5.303 0.000 0.000 0.000 4.861" Properties=species:S:1:pos:R:3 pbc="T T T"
Mg 1.545 0.853 0.000
Mg 3.052 -3.529 2.430
Mg 1.454 -0.916 2.430
Mg 4.651 -0.916 2.430
Mg 4.560 0.853 0.000
Mg 3.052 -1.782 0.000
Mo 3.052 3.444 0.000
Ga 3.052 1.992 2.430
```

Values from the calculation:
DOS at the Fermi energy: 6.154 states/eV per cell
Size of the total moment: 0.05 Bohr magnetons per cell
E above lowest polymorph: 0.0 meV per atom
E_form: 0.14 eV per atom
VASP energy: -2.7918 eV per atom

# 7
A relaxed Mg4GaMo2 crystal, computed with GGA-PBE.

Structure (extended XYZ):
```
7
Lattice="5.166 0.000 0.000 0.000 5.166 0.000 2.583 2.583 6.693" Properties=species:S:1:pos:R:3 pbc="T T T"
Mo 5.166 5.166 5.598
Mo 2.583 2.583 1.095
Ga 0.000 0.000 0.000
Mg 0.000 2.583 0.000
Mg 2.583 2.583 4.052
Mg 5.166 5.166 2.641
Mg 2.583 0.000 0.000
```

Values from the calculation:
DOS at the Fermi energy: 5.920 states/eV per cell
Size of the total moment: 0.00 Bohr magnetons per cell
E_form: 0.90 eV per atom
VASP energy: -3.5430 eV per atom

# 8
A relaxed Mg2Ga4Mo crystal, computed with GGA-PBE.

Structure (extended XYZ):
```
7
Lattice="4.893 0.000 0.000 0.000 4.893 0.000 2.447 2.447 6.889" Properties=species:S:1:pos:R:3 pbc="T T T"
Mo 0.000 0.000 0.000
Mg 2.447 2.447 1.683
Mg 4.893 4.893 5.206
Ga 4.893 4.893 2.504
Ga 0.000 2.447 0.000
Ga 2.447 2.447 4.384
Ga 2.447 0.000 0.000
```

Values from the calculation:
DOS at the Fermi energy: 1.633 states/eV per cell
Size of the total moment: 0.00 Bohr magnetons per cell
E_form: 0.21 eV per atom
VASP energy: -3.5254 eV per atom

no.,volume (Å³ per atom)
1,19.85
2,19.24
3,16.81
4,17.08
5,17.25
6,19.67
7,25.51
8,23.56